# 1
Material: GeIrNO
Method: DFT, PBE
State: relaxed

Summary:
total magnetization	0.0	μB/f.u.
energy above the lowest structure with this stoichiometry	780.5	meV per atom

a b c (Å): 4.2857 4.2857 4.8749
angles (deg): 90.00 90.00 90.00
Closest atoms and distances in Å follow each position.
Atoms (fractional coordinates):
1 O 0.7500 0.2500 0.0000  4 Ir 2.16
2 O 0.2500 0.7500 0.0000  4 Ir 2.16
3 N 0.7500 0.7500 0.3663  1 Ir 2.08, 4 Ge 2.24
4 N 0.2500 0.2500 0.6337  1 Ir 2.08, 4 Ge 2.24
5 Ge 0.7500 0.2500 0.5000  4 N 2.24, 2 O 2.44
6 Ge 0.2500 0.7500 0.5000  4 N 2.24, 2 O 2.44
7 Ir 0.7500 0.7500 0.9398  1 N 2.08, 4 O 2.16
8 Ir 0.2500 0.2500 0.0602  1 N 2.08, 4 O 2.16

---

# 2
Material: HoPuMo
Method: DFT, PBE
State: relaxed

Summary:
energy relative to the elements	593	meV per atom
total magnetization	4.7	μB/f.u.
energy above the lowest structure with this stoichiometry	0.0	meV per atom

a b c (Å): 4.6762 4.6762 4.6762
angles (deg): 60.00 60.00 60.00
Closest atoms and distances in Å follow each position.
Atoms (fractional coordinates):
1 Mo 0.0000 0.0000 0.0000  4 Pu 2.86, 4 Ho 2.86
2 Pu 0.7500 0.7500 0.7500  4 Mo 2.86
3 Ho 0.2500 0.2500 0.2500  4 Mo 2.86

---

# 3
Material: RbCuPtS3
Method: DFT, PBE
State: relaxed

Summary:
total magnetization	0.1	μB/f.u.
energy above the lowest structure with this stoichiometry	60.0	meV per atom

a b c (Å): 10.0331 3.7101 14.1390
angles (deg): 90.00 90.00 90.00
Closest atoms and distances in Å follow each position.
Atoms (fractional coordinates):
1 Pt 0.9822 0.0000 0.7581  6 S 2.43-2.70
2 Pt 0.5178 0.5000 0.2581  6 S 2.43-2.70
3 Pt 0.4822 0.0000 0.7419  6 S 2.43-2.70
4 Pt 0.0178 0.5000 0.2419  6 S 2.43-2.70
5 Cu 0.2281 0.5000 0.7965  4 S 2.28-2.31
6 Cu 0.2719 0.0000 0.2965  4 S 2.28-2.31
7 Cu 0.7281 0.5000 0.7035  4 S 2.28-2.31
8 Cu 0.7719 0.0000 0.2035  4 S 2.28-2.31
9 S 0.5543 0.0000 0.1501  1 Cu 2.31, 2 Pt 2.43
10 S 0.7399 0.0000 0.7980  2 Cu 2.29, 1 Pt 2.50
11 S 0.4768 0.0000 0.3660  1 Cu 2.28, 2 Pt 2.44
12 S 0.9768 0.0000 0.1340  1 Cu 2.28, 2 Pt 2.44
13 S 0.9457 0.5000 0.6501  1 Cu 2.31, 2 Pt 2.43
14 S 0.7601 0.5000 0.2980  2 Cu 2.29, 1 Pt 2.50
15 S 0.0543 0.0000 0.3499  1 Cu 2.31, 2 Pt 2.43
16 S 0.0232 0.5000 0.8660  1 Cu 2.28, 2 Pt 2.44
17 S 0.4457 0.5000 0.8499  1 Cu 2.31, 2 Pt 2.43
18 S 0.2399 0.0000 0.7020  2 Cu 2.29, 1 Pt 2.50
19 S 0.5232 0.5000 0.6340  1 Cu 2.28, 2 Pt 2.44
20 S 0.2601 0.5000 0.2020  2 Cu 2.29, 1 Pt 2.50
21 Rb 0.2612 0.0000 0.0078  8 S 3.31-3.63, 2 Cu 3.53, 2 Rb 3.71
22 Rb 0.2388 0.5000 0.5078  8 S 3.31-3.63, 2 Cu 3.53, 2 Rb 3.71
23 Rb 0.7612 0.0000 0.4922  8 S 3.31-3.63, 2 Cu 3.53, 2 Rb 3.71
24 Rb 0.7388 0.5000 0.9922  8 S 3.31-3.63, 2 Cu 3.53, 2 Rb 3.71

---

# 4
Material: K2Be2Zn3
Method: DFT, PBE
State: relaxed

a b c (Å): 11.9283 11.9283 11.9283
angles (deg): 19.98 19.98 19.98
Closest atoms and distances in Å follow each position.
Atoms (fractional coordinates):
1 Be 0.9902 0.9902 0.9902  7 Zn 2.39-2.44
2 Be 0.5778 0.5778 0.5778  4 Zn 2.29-2.41
3 Zn 0.6432 0.6432 0.6432  4 Be 2.29-2.44, 3 Zn 2.47
4 Zn 0.9205 0.9205 0.9205  4 Be 2.41-2.44
5 Zn 0.3279 0.3279 0.3279  3 Be 2.39, 3 Zn 2.47
6 K 0.7363 0.7363 0.7363  4 Zn 3.26-3.55
7 K 0.1790 0.1790 0.1790  3 Be 3.31, 3 Zn 3.55

---

# 5
Material: UPaAl
Method: DFT, PBE
State: relaxed

Summary:
total magnetization	2.9	μB/f.u.
energy above the lowest structure with this stoichiometry	0.0	meV per atom

a b c (Å): 4.7155 4.7155 4.7155
angles (deg): 60.00 60.00 60.00
Closest atoms and distances in Å follow each position.
Atoms (fractional coordinates):
1 Pa 0.2500 0.2500 0.2500  4 Al 2.89
2 Al 0.0000 0.0000 0.0000  4 Pa 2.89, 4 U 2.89
3 U 0.7500 0.7500 0.7500  4 Al 2.89

---

Total energy in eV/cell, matching the order above: -48.5, -27.8, -103.6, -11.4, -22.4